VASP calculation (PBE-GGA) on a relaxed structure of VGaSb.

a = 4.6393 Å, b = 4.6393 Å, c = 2.9609 Å
α = 90.00°, β = 90.00°, γ = 120.00°
Space group P-6m2 (No. 187)
Asymmetric unit:
V 0.0000 0.0000 0.0000 [1 per cell]
Ga 0.6667 0.3333 0.0000 [1 per cell]
Sb 0.3333 0.6667 0.5000 [1 per cell]

Results
ΔE to the lowest computed polymorph, meV/atom: 278.3
Raw formation energy, eV per atom: 0.333